VASP calculation (PBE-GGA) on PmTm2In3Se6 after structural relaxation.

Unit cell a=7.1931 b=7.1931 c=8.1067 alpha=98.50 beta=98.50 gamma=119.98
Fractional positions:
Pm: 0.0000 0.0000 0.0000
Tm: 0.3332 0.6668 0.0000
Tm: 0.6668 0.3332 0.0000
In: 0.1643 0.8357 0.5000
In: 0.5000 0.5000 0.5000
In: 0.8357 0.1643 0.5000
Se: 0.0696 0.4131 0.2089
Se: 0.2747 0.2747 0.7939
Se: 0.4131 0.0696 0.2089
Se: 0.5869 0.9304 0.7911
Se: 0.7253 0.7253 0.2061
Se: 0.9304 0.5869 0.7911

For the uncorrected formation energy, the calculation gives -1.2886 eV per atom. As for the electronic total energy: -4.8567 eV per atom. The crystal system is monoclinic.



VASP calculation (PBE-GGA) on MgSiRh after structural relaxation.

Unit cell a=4.3969 b=4.5983 c=5.4028 alpha=111.38 beta=91.41 gamma=101.30
Fractional positions:
Mg: 0.2247 0.3654 0.1003
Mg: 0.7753 0.6346 0.8997
Si: 0.3396 0.8732 0.6480
Si: 0.6604 0.1268 0.3520
Rh: 0.2076 0.3175 0.5715
Rh: 0.7924 0.6825 0.4285

For the uncorrected formation energy, the calculation gives -0.5681 eV per atom. As for the electronic total energy: -5.3578 eV per atom. The crystal system is triclinic.



VASP calculation (PBE-GGA) on CoNi4Sb after structural relaxation.

Unit cell a=4.7545 b=4.7545 c=4.7545 alpha=60.00 beta=60.00 gamma=60.00
Fractional positions:
Co: 0.0000 0.0000 0.0000
Ni: 0.1225 0.6258 0.6258
Ni: 0.6258 0.1225 0.6258
Ni: 0.6258 0.6258 0.1225
Ni: 0.6258 0.6258 0.6258
Sb: 0.2500 0.2500 0.2500

For the uncorrected formation energy, the calculation gives 0.1454 eV per atom. As for the electronic total energy: -5.5802 eV per atom. The crystal system is cubic.



VASP calculation (PBE-GGA) on Dy2TlTc after structural relaxation.

Unit cell a=3.5287 b=3.5287 c=7.7321 alpha=90.00 beta=90.00 gamma=90.00
Fractional positions:
Dy: 0.0000 0.0000 0.2088
Dy: 0.0000 0.0000 0.7912
Tl: 0.5000 0.5000 0.5000
Tc: 0.5000 0.5000 0.0000

As for the calculated formation energy: -0.181 eV/atom. As for the electronic total energy: -5.6655 eV per atom. The crystal system is tetragonal.



VASP calculation (PBE-GGA) on MoRuSe after structural relaxation.

Unit cell a=4.2500 b=4.2500 c=2.9504 alpha=90.00 beta=90.00 gamma=120.00
Fractional positions:
Mo: 0.0000 0.0000 0.0000
Ru: 0.6667 0.3333 0.5126
Se: 0.3333 0.6667 0.7749

For the uncorrected formation energy, the calculation gives 0.1761 eV per atom. As for the electronic total energy: -7.6877 eV per atom. The crystal system is trigonal.



VASP calculation (PBE-GGA) on NaTl2W after structural relaxation.

Unit cell a=4.8488 b=4.8488 c=18.9362 alpha=90.00 beta=90.00 gamma=90.00
Fractional positions:
Na: 0.0000 0.0000 0.0000
Na: 0.0000 0.5000 0.2500
Na: 0.5000 0.0000 0.7500
Na: 0.5000 0.5000 0.5000
Tl: 0.2041 0.2500 0.6250
Tl: 0.2500 0.7041 0.8750
Tl: 0.2500 0.7959 0.3750
Tl: 0.2959 0.2500 0.1250
Tl: 0.7041 0.7500 0.1250
Tl: 0.7500 0.2041 0.3750
Tl: 0.7500 0.2959 0.8750
Tl: 0.7959 0.7500 0.6250
W: 0.0000 0.0000 0.5000
W: 0.0000 0.5000 0.7500
W: 0.5000 0.0000 0.2500
W: 0.5000 0.5000 0.0000

As for the calculated formation energy: 1.203 eV/atom. As for the electronic total energy: -3.5478 eV per atom. The crystal system is tetragonal.



VASP calculation (PBE-GGA) on TeIr2S after structural relaxation.

Unit cell a=6.4426 b=6.4426 c=6.4426 alpha=90.00 beta=90.00 gamma=90.00
Fractional positions:
Te: 0.0000 0.0000 0.0000
Te: 0.0000 0.5000 0.5000
Te: 0.5000 0.0000 0.5000
Te: 0.5000 0.5000 0.0000
Ir: 0.2500 0.2500 0.2500
Ir: 0.2500 0.2500 0.7500
Ir: 0.2500 0.7500 0.2500
Ir: 0.2500 0.7500 0.7500
Ir: 0.7500 0.2500 0.2500
Ir: 0.7500 0.2500 0.7500
Ir: 0.7500 0.7500 0.2500
Ir: 0.7500 0.7500 0.7500
S: 0.0000 0.0000 0.5000
S: 0.0000 0.5000 0.0000
S: 0.5000 0.0000 0.0000
S: 0.5000 0.5000 0.5000

For the uncorrected formation energy, the calculation gives 0.6100 eV per atom. As for the electronic total energy: -5.6378 eV per atom. The crystal system is cubic.



VASP calculation (PBE-GGA) on PuU5N6 after structural relaxation.

Unit cell a=5.9610 b=5.9610 c=5.9674 alpha=99.56 beta=99.56 gamma=119.99
Fractional positions:
Pu: 0.0000 0.0000 0.0000
U: 0.1645 0.8355 0.5000
U: 0.3329 0.6671 0.0000
U: 0.5000 0.5000 0.5000
U: 0.6671 0.3329 0.0000
U: 0.8355 0.1645 0.5000
N: 0.0849 0.4247 0.2540
N: 0.2567 0.2567 0.7487
N: 0.4247 0.0849 0.2540
N: 0.5753 0.9151 0.7460
N: 0.7433 0.7433 0.2513
N: 0.9151 0.5753 0.7460

For the uncorrected formation energy, the calculation gives -1.3120 eV per atom. As for the electronic total energy: -11.3724 eV per atom. The crystal system is monoclinic.



VASP calculation (PBE-GGA) on Hf3SbN3 after structural relaxation.

Unit cell a=8.0088 b=8.0088 c=8.0088 alpha=46.10 beta=46.10 gamma=46.10
Fractional positions:
Hf: 0.0421 0.3981 0.7375
Hf: 0.2625 0.9579 0.6019
Hf: 0.3981 0.7375 0.0421
Hf: 0.6019 0.2625 0.9579
Hf: 0.7375 0.0421 0.3981
Hf: 0.9579 0.6019 0.2625
Sb: 0.1670 0.1670 0.1670
Sb: 0.8330 0.8330 0.8330
N: 0.0671 0.6926 0.3670
N: 0.3074 0.6330 0.9329
N: 0.3670 0.0671 0.6926
N: 0.6330 0.9329 0.3074
N: 0.6926 0.3670 0.0671
N: 0.9329 0.3074 0.6330

For the uncorrected formation energy, the calculation gives -1.3034 eV per atom. As for the electronic total energy: -9.7261 eV per atom. The crystal system is trigonal.



VASP calculation (PBE-GGA) on RbLa2Ag after structural relaxation.

Unit cell a=9.2458 b=9.2458 c=7.1589 alpha=90.00 beta=90.00 gamma=90.00
Fractional positions:
Rb: 0.0000 0.0000 0.0000
Rb: 0.0000 0.5000 0.2500
Rb: 0.5000 0.0000 0.7500
Rb: 0.5000 0.5000 0.5000
La: 0.1971 0.2500 0.6250
La: 0.2500 0.6971 0.8750
La: 0.2500 0.8029 0.3750
La: 0.3029 0.2500 0.1250
La: 0.6971 0.7500 0.1250
La: 0.7500 0.1971 0.3750
La: 0.7500 0.3029 0.8750
La: 0.8029 0.7500 0.6250
Ag: 0.0000 0.0000 0.5000
Ag: 0.0000 0.5000 0.7500
Ag: 0.5000 0.0000 0.2500
Ag: 0.5000 0.5000 0.0000

As for the calculated formation energy: 0.384 eV/atom. As for the electronic total energy: -3.0349 eV per atom. The crystal system is tetragonal.



VASP calculation (PBE-GGA) on Ni2TeAs after structural relaxation.

Unit cell a=4.5275 b=4.5275 c=14.3640 alpha=90.00 beta=90.00 gamma=90.00
Fractional positions:
Ni: 0.1812 0.2500 0.1250
Ni: 0.2500 0.6812 0.3750
Ni: 0.2500 0.8188 0.8750
Ni: 0.3188 0.2500 0.6250
Ni: 0.6812 0.7500 0.6250
Ni: 0.7500 0.1812 0.8750
Ni: 0.7500 0.3188 0.3750
Ni: 0.8188 0.7500 0.1250
Te: 0.0000 0.0000 0.5000
Te: 0.0000 0.5000 0.7500
Te: 0.5000 0.0000 0.2500
Te: 0.5000 0.5000 0.0000
As: 0.0000 0.0000 0.0000
As: 0.0000 0.5000 0.2500
As: 0.5000 0.0000 0.7500
As: 0.5000 0.5000 0.5000

For the uncorrected formation energy, the calculation gives -0.0651 eV per atom. As for the electronic total energy: -4.9036 eV per atom. The crystal system is tetragonal.



VASP calculation (PBE-GGA) on BaTl3Cd2 after structural relaxation.

Unit cell a=7.4509 b=7.4509 c=6.9424 alpha=90.00 beta=90.00 gamma=82.32
Fractional positions:
Ba: 0.1534 0.8466 0.7500
Ba: 0.8466 0.1534 0.2500
Tl: 0.0705 0.6264 0.2500
Tl: 0.3736 0.9295 0.2500
Tl: 0.4968 0.5032 0.2500
Tl: 0.5032 0.4968 0.7500
Tl: 0.6264 0.0705 0.7500
Tl: 0.9295 0.3736 0.7500
Cd: 0.2621 0.2621 0.0000
Cd: 0.2621 0.2621 0.5000
Cd: 0.7379 0.7379 0.0000
Cd: 0.7379 0.7379 0.5000

As for the calculated formation energy: -0.152 eV/atom. As for the electronic total energy: -1.9602 eV per atom. The crystal system is orthorhombic.